Record 1
## Pr2VN3 (PBE-GGA)

Data for a relaxed Pr2VN3 crystal.

Results
Its space group is C2/c, No. 15. Its magnetic moment is 0.0 Bohr magnetons per cell. The raw formation energy is -6.2 eV/f.u. The final energy is -99.78 eV for the cell shown. The value obtained for the density of states at the Fermi level is 0.423 states/eV/atom. The theoretical density is 7.11 g/cm3. The offset from the most stable computed form comes out at 0.187 eV per atom.

Lattice parameters (Å, degrees): 5.5792 5.8193 5.8193 68.04 89.01 89.01
Last column: nearest neighbours and their distance in Å.
Element x y z (fractional)
V  0.7500  0.9056  0.0944  1 N 1.79
V  0.2500  0.0944  0.9056  1 N 1.79
N  0.0007  0.1435  0.1483  2 V 2.06-2.09
N  0.5007  0.1483  0.1435  2 V 2.06-2.09
N  0.2500  0.3693  0.6307  1 V 1.79
N  0.4993  0.8517  0.8565  2 V 2.06-2.09
N  0.7500  0.6307  0.3693  1 V 1.79
N  0.9993  0.8565  0.8517  2 V 2.06-2.09
Pr  0.2544  0.8341  0.5082  5 N 2.48-2.61
Pr  0.2456  0.4918  0.1659  5 N 2.48-2.61
Pr  0.7456  0.1659  0.4918  5 N 2.48-2.61
Pr  0.7544  0.5082  0.8341  5 N 2.48-2.61

Record 2
## ZrMn2Bi (PBE-GGA)

Data for a relaxed ZrMn2Bi crystal.

Results
Its space group is I-42d, No. 122. Its magnetic moment is 13.4 Bohr magnetons per cell. The final energy is -57.47 eV for the cell shown. The value obtained for the density of states at the Fermi level is 0.818 states/eV/atom. The theoretical density is 7.95 g/cm3.

Lattice parameters (Å, degrees): 4.1715 4.1715 10.2733 78.29 78.29 90.00
Last column: nearest neighbours and their distance in Å.
Element x y z (fractional)
Mn  0.3750  0.3868  0.7500  2 Zr 2.85, 4 Mn 2.88-3.02, 2 Bi 2.89
Mn  0.8750  0.8632  0.7500  2 Zr 2.85, 4 Mn 2.88-3.02, 2 Bi 2.89
Mn  0.6132  0.1250  0.2500  2 Zr 2.85, 4 Mn 2.88-3.02, 2 Bi 2.89
Mn  0.1368  0.6250  0.2500  2 Zr 2.85, 4 Mn 2.88-3.02, 2 Bi 2.89
Zr  0.5000  0.5000  0.0000  4 Mn 2.85, 4 Bi 2.95
Zr  0.2500  0.7500  0.5000  4 Mn 2.85, 4 Bi 2.95
Bi  0.7500  0.2500  0.5000  4 Mn 2.89, 4 Zr 2.95
Bi  0.0000  0.0000  0.0000  4 Mn 2.89, 4 Zr 2.95

Record 3
## Sc2FeMo (PBE-GGA)

Data for a relaxed Sc2FeMo crystal.

Results
Its space group is Fm-3m, No. 225. Its magnetic moment is 3.0 Bohr magnetons per cell. The final energy is -31.07 eV for the cell shown. The value obtained for the density of states at the Fermi level is 1.722 states/eV/atom. The theoretical density is 5.78 g/cm3. The offset from the most stable computed form comes out at 0.195 eV per atom.

Lattice parameters (Å, degrees): 4.6142 4.6142 4.6142 60.00 60.00 60.00
Last column: nearest neighbours and their distance in Å.
Element x y z (fractional)
Sc  0.7500  0.7500  0.7500  4 Mo 2.83, 4 Fe 2.83
Sc  0.2500  0.2500  0.2500  4 Mo 2.83, 4 Fe 2.83
Mo  0.5000  0.5000  0.5000  8 Sc 2.83
Fe  0.0000  0.0000  0.0000  8 Sc 2.83

Record 4
## LaMg3Be (PBE-GGA)

Data for a relaxed LaMg3Be crystal.

Results
Its space group is Pm-3m, No. 221. Its magnetic moment is 0.0 Bohr magnetons per cell. The final energy is -5.28 eV for the cell shown. The value obtained for the density of states at the Fermi level is 1.789 states/eV/atom. The theoretical density is 1.49 g/cm3. The offset from the most stable computed form comes out at 1.517 eV per atom.

Lattice parameters (Å, degrees): 6.2636 6.2636 6.2636 90.00 90.00 90.00
Last column: nearest neighbours and their distance in Å.
Element x y z (fractional)
Be  0.5000  0.5000  0.5000  12 Mg 4.43
Mg  0.0000  0.5000  0.0000  2 La 3.13
Mg  0.5000  0.0000  0.0000  2 La 3.13
Mg  0.0000  0.0000  0.5000  2 La 3.13
La  0.0000  0.0000  0.0000  6 Mg 3.13

Record 5
## Th4Tc (PBE-GGA)

Data for a relaxed Th4Tc crystal.

Results
Its space group is Pm-3m, No. 221. Its magnetic moment is 0.0 Bohr magnetons per cell. The final energy is -39.17 eV for the cell shown. The value obtained for the density of states at the Fermi level is 2.078 states/eV/atom. The theoretical density is 10.44 g/cm3. The offset from the most stable computed form comes out at 0.217 eV per atom.

Lattice parameters (Å, degrees): 5.4648 5.4648 5.4648 90.00 90.00 90.00
Last column: nearest neighbours and their distance in Å.
Element x y z (fractional)
Th  0.0000  0.0000  0.0000  12 Th 3.86
Th  0.5000  0.5000  0.0000  2 Tc 2.73
Th  0.0000  0.5000  0.5000  2 Tc 2.73
Th  0.5000  0.0000  0.5000  2 Tc 2.73
Tc  0.5000  0.5000  0.5000  6 Th 2.73

Record 6
## Sr3PbCl (PBE-GGA)

Data for a relaxed Sr3PbCl crystal.

Results
Its space group is Pm-3m, No. 221. Its magnetic moment is 0.0 Bohr magnetons per cell. The raw formation energy is -3.9 eV/f.u. The final energy is -14.45 eV for the cell shown. The value obtained for the density of states at the Fermi level is 0.765 states/eV/atom. The theoretical density is 4.60 g/cm3. The offset from the most stable computed form comes out at 0.000 eV per atom.

Lattice parameters (Å, degrees): 5.6725 5.6725 5.6725 90.00 90.00 90.00
Last column: nearest neighbours and their distance in Å.
Element x y z (fractional)
Sr  0.5000  0.0000  0.0000  2 Cl 2.84
Sr  0.0000  0.0000  0.5000  2 Cl 2.84
Sr  0.0000  0.5000  0.0000  2 Cl 2.84
Pb  0.5000  0.5000  0.5000  12 Sr 4.01
Cl  0.0000  0.0000  0.0000  6 Sr 2.84

Record 7
## SmScPd2 (PBE-GGA)

Data for a relaxed SmScPd2 crystal.

Results
Its space group is R-3m, No. 166. Its magnetic moment is 0.0 Bohr magnetons per cell. The final energy is -24.64 eV for the cell shown. The value obtained for the density of states at the Fermi level is 0.823 states/eV/atom. The theoretical density is 7.95 g/cm3. The offset from the most stable computed form comes out at 0.021 eV per atom.

Lattice parameters (Å, degrees): 4.6660 4.6660 5.2652 63.70 63.70 60.00
Last column: nearest neighbours and their distance in Å.
Element x y z (fractional)
Pd  0.7227  0.7227  0.8318  3 Sc 2.80, 4 Sm 3.02-3.08, 3 Pd 3.09
Pd  0.2773  0.2773  0.1682  3 Sc 2.80, 4 Sm 3.02-3.08, 3 Pd 3.09
Sc  0.0000  0.0000  0.0000  6 Pd 2.80
Sm  0.5000  0.5000  0.5000  8 Pd 3.02-3.08

Record 8
## AcNiSbH (PBE-GGA)

Data for a relaxed AcNiSbH crystal.

Results
Its space group is F-43m, No. 216. Its magnetic moment is 0.0 Bohr magnetons per cell. The final energy is -18.47 eV for the cell shown. The value obtained for the density of states at the Fermi level is 0.710 states/eV/atom. The theoretical density is 8.75 g/cm3. The offset from the most stable computed form comes out at 0.473 eV per atom.

Lattice parameters (Å, degrees): 4.7851 4.7851 4.7851 60.00 60.00 60.00
Last column: nearest neighbours and their distance in Å.
Element x y z (fractional)
Ni  0.7500  0.7500  0.7500  4 Ac 2.93, 4 Sb 2.93
Ac  0.5000  0.5000  0.5000  4 Ni 2.93, 4 H 2.93
Sb  0.0000  0.0000  0.0000  4 H 2.93, 4 Ni 2.93
H  0.2500  0.2500  0.2500  4 Ac 2.93, 4 Sb 2.93